# 1
VASP calculation (GGA-PBE) on a relaxed structure of SrTh2In9.

The space group is P4/mmm (No. 123) and the conventional cell measures 4.7568, 4.7568 and 14.4109 Å, with angles of 90.00, 90.00 and 90.00 degrees. The inequivalent atoms are Sr at (0.0000, 0.0000, 0.0000), Th at (0.0000, 0.0000, 0.3376), In at (0.0000, 0.5000, 0.1696), In at (0.0000, 0.5000, 0.5000), In at (0.5000, 0.5000, 0.0000) and In at (0.5000, 0.5000, 0.3338).

The calculation puts the formation energy from the elements at -0.3343 eV/atom.


# 2
VASP calculation (GGA-PBE) on a relaxed structure of Sr2Ti2In.

The space group is I4/mmm (No. 139) and the conventional cell measures 4.5429, 4.5429 and 14.2393 Å, with angles of 90.00, 90.00 and 90.00 degrees. The inequivalent atoms are Sr at (0.0000, 0.5000, 0.2500), Ti at (0.0000, 0.0000, 0.0699) and In at (0.0000, 0.0000, 0.5000).

The calculation puts the formation energy from the elements at 0.7228 eV/atom.